Here is a relaxed structure of KNaMnO2 from the Alexandria database. Energies are from GGA+U.

Properties
E_tot: -5.356 eV per atom
ρ: 2.99 Mg/m³

```
data_KNaMnO2
_chemical_formula_sum 'K8 Na8 Mn8 O16'
_cell_length_a 9.543
_cell_length_b 9.760
_cell_length_c 7.106
_cell_angle_alpha 90.00
_cell_angle_beta 90.00
_cell_angle_gamma 90.00
_symmetry_space_group_name_H-M 'C c c m'
_symmetry_Int_Tables_number 66
_symmetry_space_group_name_Hall '-C 2 2c'
loop_
_atom_site_label
_atom_site_type_symbol
_atom_site_fract_x
_atom_site_fract_y
_atom_site_fract_z
K1 K 0.000 0.000 0.250
K2 K 0.250 0.250 0.000
Na1 Na 0.150 0.500 0.250
Mn1 Mn 0.105 0.268 0.500
O1 O 0.000 0.303 0.250
O2 O 0.222 0.086 0.500
```